Record 1
Compound: TbSbNO
Source: OQMD via LeMat-Bulk
Functional: PBE
Structure: relaxed

Properties
* size of the total moment: 0.0 μB per formula unit
* final energy: -25.68 eV per formula unit

abc: 4.324 4.324 7.099
angles: 90.00 90.00 90.00
Positions (direct):
1 N 0.750 0.750 0.349
2 N 0.250 0.250 0.651
3 O 0.750 0.250 0.000
4 O 0.250 0.750 0.000
5 Sb 0.750 0.250 0.500
6 Sb 0.250 0.750 0.500
7 Tb 0.250 0.250 0.109
8 Tb 0.750 0.750 0.891

Record 2
Compound: NaSmCoTe3
Source: OQMD via LeMat-Bulk
Functional: PBE
Structure: relaxed

Properties
* size of the total moment: 1.7 μB per formula unit
* final energy: -27.25 eV per formula unit

abc: 9.051 4.216 10.003
angles: 90.00 104.89 90.00
Each line ends with the local moment (μB).
Positions (direct):
1 Co 0.076 0.250 0.086  1.36
2 Co 0.924 0.750 0.914  1.36
3 Na 0.792 0.750 0.252  0.00
4 Na 0.208 0.250 0.748  0.00
5 Sm 0.320 0.750 0.353  0.02
6 Sm 0.680 0.250 0.647  0.02
7 Te 0.205 0.750 0.025  0.06
8 Te 0.564 0.250 0.326  0.01
9 Te 0.068 0.250 0.343  0.07
10 Te 0.932 0.750 0.657  0.07
11 Te 0.436 0.750 0.674  0.01
12 Te 0.795 0.250 0.975  0.06

Record 3
Compound: BPtW
Source: OQMD via LeMat-Bulk
Functional: PBE
Structure: relaxed

Properties
* size of the total moment: 0.0 μB per formula unit
* final energy: -23.10 eV per formula unit

abc: 4.058 4.058 4.058
angles: 60.00 60.00 60.00
Positions (direct):
1 B 0.250 0.250 0.250
2 Pt 0.750 0.750 0.750
3 W 0.000 0.000 0.000

Record 4
Compound: Sc2Ga4IrAu
Source: OQMD via LeMat-Bulk
Functional: PBE
Structure: relaxed

Properties
* size of the total moment: 0.0 μB per formula unit
* final energy: -42.21 eV per formula unit

abc: 6.667 5.380 5.380
angles: 46.29 90.00 90.00
Positions (direct):
1 Au 0.500 0.795 0.795
2 Ga 0.293 0.372 0.372
3 Ga 0.707 0.372 0.372
4 Ga 0.196 0.627 0.627
5 Ga 0.804 0.627 0.627
6 Ir 0.000 0.205 0.205
7 Sc 0.500 0.083 0.083
8 Sc 0.000 0.919 0.919

Record 5
Compound: NdDy2Hg5
Source: OQMD via LeMat-Bulk
Functional: PBE
Structure: relaxed

Properties
* size of the total moment: 0.0 μB per formula unit
* ΔH_f (0 K): -43.0 kJ per mole of atoms

abc: 8.212 8.212 8.212
angles: 142.82 142.82 53.59
Positions (direct):
1 Dy 0.267 0.267 0.000
2 Dy 0.733 0.733 0.000
3 Hg 0.500 0.500 0.000
4 Hg 0.628 0.128 0.500
5 Hg 0.872 0.372 0.500
6 Hg 0.128 0.628 0.500
7 Hg 0.372 0.872 0.500
8 Nd 0.000 0.000 0.000

Record 6
Compound: Ag4SnH30N10F8
Source: OQMD via LeMat-Bulk
Functional: PBE
Structure: relaxed

Properties
* final energy: -254.07 eV per formula unit

abc: 7.128 18.806 7.597
angles: 90.00 112.68 90.00
Positions (direct):
1 Ag 0.339 0.869 0.047
2 Ag 0.734 0.274 0.177
3 Ag 0.266 0.774 0.323
4 Ag 0.661 0.369 0.453
5 Ag 0.339 0.631 0.547
6 Ag 0.734 0.226 0.677
7 Ag 0.266 0.726 0.823
8 Ag 0.661 0.131 0.953
9 F 0.781 0.550 0.050
10 F 0.190 0.580 0.117
11 F 0.247 0.211 0.169
12 F 0.907 0.957 0.241
13 F 0.093 0.457 0.259
14 F 0.753 0.711 0.331
15 F 0.810 0.080 0.383
16 F 0.219 0.050 0.450
17 F 0.781 0.950 0.550
18 F 0.190 0.920 0.617
19 F 0.247 0.289 0.669
20 F 0.907 0.543 0.741
21 F 0.093 0.043 0.759
22 F 0.753 0.789 0.831
23 F 0.810 0.420 0.883
24 F 0.219 0.450 0.950
25 H 0.673 0.819 0.006
26 H 0.939 0.740 0.009
27 H 0.447 0.378 0.046
28 H 0.385 0.619 0.054
29 H 0.338 0.027 0.056
30 H 0.008 0.923 0.074
31 H 0.082 0.140 0.090
32 H 0.067 0.665 0.112
33 H 0.576 0.677 0.134
34 H 0.007 0.063 0.146
35 H 0.740 0.876 0.187
36 H 0.918 0.707 0.203
37 H 0.680 0.792 0.216
38 H 0.654 0.512 0.228
39 H 0.557 0.014 0.233
40 H 0.443 0.514 0.267
41 H 0.346 0.012 0.272
42 H 0.320 0.292 0.284
43 H 0.082 0.207 0.297
44 H 0.260 0.376 0.313
45 H 0.993 0.563 0.354
46 H 0.424 0.177 0.366
47 H 0.933 0.165 0.388
48 H 0.918 0.640 0.410
49 H 0.992 0.423 0.426
50 H 0.662 0.527 0.444
51 H 0.615 0.119 0.446
52 H 0.553 0.878 0.454
53 H 0.061 0.240 0.491
54 H 0.327 0.319 0.494
55 H 0.673 0.681 0.506
56 H 0.939 0.760 0.509
57 H 0.447 0.122 0.546
58 H 0.385 0.881 0.554
59 H 0.338 0.473 0.556
60 H 0.008 0.577 0.574
61 H 0.082 0.360 0.590
62 H 0.067 0.835 0.612
63 H 0.576 0.823 0.634
64 H 0.007 0.437 0.646
65 H 0.740 0.624 0.687
66 H 0.918 0.793 0.703
67 H 0.680 0.708 0.716
68 H 0.654 0.988 0.728
69 H 0.557 0.486 0.733
70 H 0.443 0.986 0.767
71 H 0.346 0.488 0.772
72 H 0.320 0.208 0.784
73 H 0.082 0.293 0.797
74 H 0.260 0.124 0.813
75 H 0.993 0.937 0.854
76 H 0.424 0.323 0.866
77 H 0.933 0.335 0.888
78 H 0.918 0.860 0.910
79 H 0.992 0.077 0.926
80 H 0.662 0.973 0.944
81 H 0.615 0.381 0.946
82 H 0.553 0.622 0.954
83 H 0.061 0.260 0.991
84 H 0.327 0.181 0.994
85 N 0.472 0.653 0.011
86 N 0.974 0.100 0.041
87 N 0.645 0.835 0.124
88 N 0.019 0.714 0.137
89 N 0.409 0.997 0.177
90 N 0.591 0.497 0.323
91 N 0.981 0.214 0.363
92 N 0.355 0.335 0.376
93 N 0.026 0.600 0.459
94 N 0.528 0.153 0.489
95 N 0.472 0.847 0.511
96 N 0.974 0.400 0.541
97 N 0.645 0.665 0.624
98 N 0.019 0.786 0.636
99 N 0.409 0.503 0.677
100 N 0.591 0.003 0.823
101 N 0.981 0.286 0.864
102 N 0.355 0.165 0.877
103 N 0.026 0.900 0.959
104 N 0.528 0.347 0.989
105 Sn 0.000 0.500 0.000
106 Sn 0.000 0.000 0.500

Record 7
Compound: ZnTc
Source: OQMD via LeMat-Bulk
Functional: PBE
Structure: relaxed

Properties
* size of the total moment: 0.0 μB per formula unit
* ΔH_f (0 K): 6.6 kJ per mole of atoms

abc: 7.445 5.254 4.426
angles: 90.00 90.00 99.38
Positions (direct):
1 Tc 0.333 0.318 0.000
2 Tc 0.006 0.504 0.000
3 Tc 0.335 0.838 0.000
4 Tc 0.887 0.217 0.500
5 Tc 0.217 0.551 0.500
6 Tc 0.889 0.738 0.500
7 Zn 0.002 0.003 0.000
8 Zn 0.669 0.166 0.000
9 Zn 0.666 0.663 0.000
10 Zn 0.220 0.053 0.500
11 Zn 0.556 0.393 0.500
12 Zn 0.553 0.890 0.500

Record 8
Compound: K4As2PtAu
Source: OQMD via LeMat-Bulk
Functional: PBE
Structure: relaxed

Properties
* size of the total moment: 0.4 μB per formula unit
* final energy: -26.75 eV per formula unit

abc: 6.399 6.399 5.822
angles: 90.25 90.25 104.19
Each line ends with the local moment (μB).
Positions (direct):
1 As 0.240 0.240 0.257  0.05
2 As 0.760 0.760 0.743  0.05
3 Au 0.500 0.500 0.000  0.01
4 K 0.675 0.022 0.253  0.00
5 K 0.022 0.675 0.253  0.00
6 K 0.978 0.325 0.747  0.00
7 K 0.325 0.978 0.747  0.00
8 Pt 0.500 0.500 0.500  0.10

Q: Number 2 is which compound?
A: NaSmCoTe3

What did the third record say?
Compound: BPtW
Source: OQMD via LeMat-Bulk
Functional: PBE
Structure: relaxed

Properties
* size of the total moment: 0.0 μB per formula unit
* final energy: -23.10 eV per formula unit

abc: 4.058 4.058 4.058
angles: 60.00 60.00 60.00
Positions (direct):
1 B 0.250 0.250 0.250
2 Pt 0.750 0.750 0.750
3 W 0.000 0.000 0.000